1.
Computed, not measured: crystalline SrCe3Sb4 at its relaxed geometry at the PBE level of DFT.

Results
The calculation puts the raw total energy at -0.2026 Ha/atom. Its total magnetic moment is 0.246 μB/atom. As for the density of states at the Fermi level: 2.0210 states/eV per atom.

```
SrCe3Sb4
1.0
-1.351 -3.974 -1.760
2.636 -3.104 4.987
-7.905 0.656 4.587
Sb Ce Sr
4 3 1
direct
0.500 0.000 0.734
0.500 0.000 0.266
0.000 0.500 0.000
0.000 0.500 0.500
0.500 0.500 0.248
0.500 0.500 0.752
0.000 0.000 0.500
0.000 0.000 0.000
```

2.
Computed, not measured: crystalline Zn2CdBiIr at its relaxed geometry at the PBE level of DFT.

Results
Its total magnetic moment is 0.000 μB/atom. The calculated formation energy is 0.330 eV per atom. As for the density of states at the Fermi level: 0.5841 states/eV per atom.

```
Zn2CdBiIr
1.0
-2.159 -4.244 -0.752
3.583 -2.344 2.943
-2.744 0.704 3.901
Zn Bi Cd Ir
2 1 1 1
direct
0.000 0.000 0.500
0.500 0.000 0.000
0.500 0.500 0.500
0.000 0.500 0.000
0.000 0.000 0.000
```

3.
Computed, not measured: crystalline BeTcIr at its relaxed geometry at the PBE level of DFT.

Results
Its total magnetic moment is 0.000 μB/atom. The calculated formation energy is -0.044 eV per atom. The polymorph energy (0 for the lowest one) is 323 meV/atom. As for the density of states at the Fermi level: 0.7152 states/eV per atom.

```
BeTcIr
1.0
2.708 0.000 0.000
-1.354 2.345 0.000
0.000 0.000 6.102
Ir Be Tc
1 1 1
direct
0.667 0.333 0.315
0.000 0.000 0.007
0.333 0.667 0.678
```

Q: Number 3 is which compound?
A: BeTcIr

Q: Among the records above, which one has the lowest density of states at the Fermi level?
A: Zn2CdBiIr

Q: total magnetic moment of number 3 (BeTcIr)?
A: 0.000 μB/atom

Q: The highest density of states at the Fermi level belongs to which entry?
A: SrCe3Sb4